1.
An optimized crystal structure of BaW2Br. Source: Alexandria via LeMat-Bulk, functional PBE-GGA.

Cell lengths 6.719, 6.719, 5.645 Å; angles 66.62, 66.62, 28.45 degrees
Sites, in units of the cell vectors:
W 0.471 0.471 0.421
W 0.029 0.029 0.079
Ba 0.250 0.250 0.250
Br 0.750 0.750 0.750

Values from the calculation:
Formation energy from raw total energies (meV per atom): 792

---

2.
An optimized crystal structure of BaW2Br. Source: Alexandria via LeMat-Bulk, functional PBE-GGA.

Cell lengths 9.592, 9.592, 9.592 Å; angles 21.28, 21.28, 21.28 degrees
Sites, in units of the cell vectors:
W 0.271 0.271 0.271
W 0.990 0.990 0.990
Br 0.740 0.740 0.740
Ba 0.500 0.500 0.500

Values from the calculation:
Formation energy from raw total energies (meV per atom): 534

---

Here are the calculated distance to the lowest polymorph of the same formula numbers, same order: 0.4816 0.2244 (eV/atom).